DFT (GGA-PBE) results for an optimized crystal structure of AcGa3NiPt.

Summary:
- Formation energy: -3.31 eV/f.u.

Cell lengths 6.8844, 6.8844, 6.4635 Å; angles 90.00, 90.00, 124.80 degrees
Closest atoms and distances in Å follow each position.
Positions (direct):
Ac: 0.2404 0.7596 0.7500  1 Ni 3.03, 4 Ga 3.29-3.30
Ac: 0.7596 0.2404 0.2500  1 Ni 3.03, 4 Ga 3.29-3.30
Ga: 0.1896 0.8104 0.2500  1 Ni 2.22, 1 Pt 2.38
Ga: 0.2786 0.2786 0.0000  2 Ni 2.40, 2 Pt 2.56
Ga: 0.2786 0.2786 0.5000  2 Ni 2.40, 2 Pt 2.56
Ga: 0.7214 0.7214 0.0000  2 Ni 2.40, 2 Pt 2.56
Ga: 0.7214 0.7214 0.5000  2 Ni 2.40, 2 Pt 2.56
Ga: 0.8104 0.1896 0.7500  1 Ni 2.22, 1 Pt 2.38
Ni: 0.0076 0.9924 0.2500  5 Ga 2.22-2.40
Ni: 0.9924 0.0076 0.7500  5 Ga 2.22-2.40
Pt: 0.3849 0.6151 0.2500  5 Ga 2.38-2.56
Pt: 0.6151 0.3849 0.7500  5 Ga 2.38-2.56

***

DFT (GGA-PBE) results for an optimized crystal structure of LaNd3Tl.

Summary:
- Formation energy: -0.68 eV/f.u.
- Energy above the most stable polymorph in this dataset: 0.000 eV/atom

Cell lengths 5.3921, 7.1826, 9.0891 Å; angles 90.00, 107.20, 90.00 degrees
Closest atoms and distances in Å follow each position.
Positions (direct):
La: 0.1078 0.0000 0.2155  10 Nd 3.54-3.76, 3 Tl 3.60-3.84
La: 0.8922 0.5000 0.7845  10 Nd 3.54-3.76, 3 Tl 3.60-3.84
Nd: 0.1089 0.5072 0.2176  3 La 3.54-3.76, 3 Tl 3.58-3.83, 7 Nd 3.64-3.78
Nd: 0.2936 0.2513 0.5865  2 Tl 3.18
Nd: 0.4975 0.7571 0.9943  1 Tl 3.35, 5 Nd 3.59-3.73, 4 La 3.74
Nd: 0.5025 0.2571 0.0057  1 Tl 3.35, 5 Nd 3.59-3.73, 4 La 3.74
Nd: 0.7064 0.7513 0.4135  2 Tl 3.18
Nd: 0.8911 0.0072 0.7824  3 La 3.54-3.76, 3 Tl 3.58-3.83, 7 Nd 3.64-3.78
Tl: 0.3038 0.7553 0.6082  3 Nd 3.18-3.35
Tl: 0.6962 0.2553 0.3918  3 Nd 3.18-3.35

***

DFT (GGA-PBE) results for an optimized crystal structure of SrBe4Pd3O12.

Summary:
- Raw formation energy: -30.9 kcal/mol of atoms

Cell lengths 6.3664, 6.3664, 6.3664 Å; angles 105.68, 105.68, 105.68 degrees
Closest atoms and distances in Å follow each position.
Positions (direct):
Sr: 0.0000 0.0000 0.0000  6 O 2.49
Be: 0.0720 0.5000 0.9280  3 O 1.53-1.58
Be: 0.5000 0.5000 0.5000  3 O 1.56
Be: 0.5000 0.9280 0.0720  3 O 1.53-1.58
Be: 0.9280 0.0720 0.5000  3 O 1.53-1.58
Pd: 0.0000 0.5648 0.4352  6 O 1.97-2.05
Pd: 0.4352 0.0000 0.5648  6 O 1.97-2.05
Pd: 0.5648 0.4352 0.0000  6 O 1.97-2.05
O: 0.0387 0.6384 0.7670  1 Be 1.53
O: 0.0837 0.9163 0.5000  1 Be 1.58
O: 0.2330 0.3616 0.9613  1 Be 1.53
O: 0.3459 0.6541 0.5000  1 Be 1.56
O: 0.3616 0.9613 0.2330  1 Be 1.53
O: 0.5000 0.0837 0.9163  1 Be 1.58
O: 0.5000 0.3459 0.6541  1 Be 1.56
O: 0.6384 0.7670 0.0387  1 Be 1.53
O: 0.6541 0.5000 0.3459  1 Be 1.56
O: 0.7670 0.0387 0.6384  1 Be 1.53
O: 0.9163 0.5000 0.0837  1 Be 1.58
O: 0.9613 0.2330 0.3616  1 Be 1.53

***

DFT (GGA-PBE) results for an optimized crystal structure of BaLa2Y2.

Summary:
- Formation energy: 0.69 eV/f.u.
- Energy above the most stable polymorph in this dataset: 0.010 eV/atom

Cell lengths 10.0019, 10.0019, 3.9428 Å; angles 90.00, 90.00, 90.00 degrees
Closest atoms and distances in Å follow each position.
Positions (direct):
Ba: 0.0000 0.0000 0.0000  2 Ba 3.94, 4 La 3.96, 8 Y 4.21
Ba: 0.5000 0.5000 0.0000  2 Ba 3.94, 4 La 3.96, 8 Y 4.21
La: 0.1241 0.3759 0.0000  1 La 3.51, 6 Y 3.52-3.57
La: 0.3759 0.8759 0.0000  1 La 3.51, 6 Y 3.52-3.57
La: 0.6241 0.1241 0.0000  1 La 3.51, 6 Y 3.52-3.57
La: 0.8759 0.6241 0.0000  1 La 3.51, 6 Y 3.52-3.57
Y: 0.1694 0.6694 0.5000  6 La 3.52-3.57, 2 Y 3.94
Y: 0.3306 0.1694 0.5000  6 La 3.52-3.57, 2 Y 3.94
Y: 0.6694 0.8306 0.5000  6 La 3.52-3.57, 2 Y 3.94
Y: 0.8306 0.3306 0.5000  6 La 3.52-3.57, 2 Y 3.94

***

DFT (GGA-PBE) results for an optimized crystal structure of La2EuDy.

Summary:
- Formation energy: 0.30 eV/f.u.
- Energy above the most stable polymorph in this dataset: 0.036 eV/atom

Cell lengths 5.2962, 5.2962, 5.1555 Å; angles 90.00, 90.00, 90.00 degrees
Closest atoms and distances in Å follow each position.
Positions (direct):
La: 0.0000 0.5000 0.0000  4 Dy 3.70, 4 Eu 3.70, 4 La 3.75
La: 0.5000 0.0000 0.0000  4 Dy 3.70, 4 Eu 3.70, 4 La 3.75
Eu: 0.0000 0.0000 0.5000  8 La 3.70, 4 Dy 3.75
Dy: 0.5000 0.5000 0.5000  8 La 3.70, 4 Eu 3.75

***

DFT (GGA-PBE) results for an optimized crystal structure of NbHg2IrPb.

Summary:
- Formation energy: 4.20 eV/f.u.

Cell lengths 5.4603, 5.4603, 4.7340 Å; angles 90.00, 90.00, 90.00 degrees
Closest atoms and distances in Å follow each position.
Positions (direct):
Nb: 0.0000 0.0000 0.0000  2 Ir 2.37
Hg: 0.0000 0.5000 0.0000  2 Nb 2.73
Hg: 0.5000 0.0000 0.0000  2 Nb 2.73
Ir: 0.0000 0.0000 0.5000  2 Nb 2.37
Pb: 0.5000 0.5000 0.5000  8 Hg 3.61, 4 Ir 3.86

***

DFT (GGA-PBE) results for an optimized crystal structure of MnNbMoIr.

Summary:
- Formation energy: -0.62 eV/f.u.

Cell lengths 6.2709, 6.2709, 6.2709 Å; angles 90.00, 90.00, 90.00 degrees
Closest atoms and distances in Å follow each position.
Positions (direct):
Mn: 0.0000 0.0000 0.0000  4 Ir 2.72, 4 Mo 2.72
Mn: 0.0000 0.5000 0.5000  4 Mo 2.72, 4 Ir 2.72
Mn: 0.5000 0.0000 0.5000  4 Mo 2.72, 4 Ir 2.72
Mn: 0.5000 0.5000 0.0000  4 Mo 2.72, 4 Ir 2.72
Nb: 0.0000 0.0000 0.5000  4 Mo 2.72, 4 Ir 2.72
Nb: 0.0000 0.5000 0.0000  4 Mo 2.72, 4 Ir 2.72
Nb: 0.5000 0.0000 0.0000  4 Mo 2.72, 4 Ir 2.72
Nb: 0.5000 0.5000 0.5000  4 Mo 2.72, 4 Ir 2.72
Mo: 0.2500 0.2500 0.7500  4 Nb 2.72, 4 Mn 2.72
Mo: 0.2500 0.7500 0.2500  4 Nb 2.72, 4 Mn 2.72
Mo: 0.7500 0.2500 0.2500  4 Nb 2.72, 4 Mn 2.72
Mo: 0.7500 0.7500 0.7500  4 Nb 2.72, 4 Mn 2.72
Ir: 0.2500 0.2500 0.2500  4 Nb 2.72, 4 Mn 2.72
Ir: 0.2500 0.7500 0.7500  4 Nb 2.72, 4 Mn 2.72
Ir: 0.7500 0.2500 0.7500  4 Nb 2.72, 4 Mn 2.72
Ir: 0.7500 0.7500 0.2500  4 Nb 2.72, 4 Mn 2.72

***

DFT (GGA-PBE) results for an optimized crystal structure of Li2PrMgCd4.

Summary:
- Formation energy: -1.71 eV/f.u.

Cell lengths 9.6029, 9.6029, 9.6029 Å; angles 28.91, 28.91, 28.91 degrees
Closest atoms and distances in Å follow each position.
Positions (direct):
Li: 0.2379 0.2379 0.2379  7 Cd 2.88-3.14
Li: 0.7621 0.7621 0.7621  7 Cd 2.88-3.14
Pr: 0.0000 0.0000 0.0000  8 Cd 3.24-3.42
Mg: 0.5000 0.5000 0.5000  8 Cd 2.92-3.01
Cd: 0.1239 0.1239 0.1239  4 Li 2.88-3.14, 3 Mg 3.01
Cd: 0.3943 0.3943 0.3943  1 Mg 2.92, 3 Li 2.93, 3 Pr 3.24
Cd: 0.6057 0.6057 0.6057  1 Mg 2.92, 3 Li 2.93, 3 Pr 3.24
Cd: 0.8761 0.8761 0.8761  4 Li 2.88-3.14, 3 Mg 3.01